No. 1
VASP calculation (GGA-PBE) on Li2BeSiSe4 after structural relaxation. Values from VASP.

Values from the calculation:
Uncorrected formation energy, kJ/mol of formula units: -670
Volume, Å³ per cell: 172.0
Space group: No. 82
Magnetic moment, μB/f.u.: 0.0

Geometry as Quantum ESPRESSO input:
```
&SYSTEM
  ibrav = 0, nat = 8, ntyp = 4
/
ATOMIC_SPECIES
Li 6.94 Li.upf
Be 9.01 Be.upf
Si 28.09 Si.upf
Se 78.96 Se.upf
CELL_PARAMETERS angstrom
5.842 0.001 -0.003
0.000 5.843 -0.003
-2.918 -2.919 5.041
ATOMIC_POSITIONS angstrom
Li 0.002 2.924 4.895
Li 0.001 0.001 2.377
Be 2.924 0.004 4.893
Si 2.922 2.923 2.373
Se 1.708 1.458 3.679
Se 4.387 1.708 1.069
Se 1.456 4.137 1.069
Se -1.704 -1.455 3.683
```

No. 2
VASP calculation (GGA-PBE) on Li3U3BeSe8 after structural relaxation. Values from VASP.

Values from the calculation:
Uncorrected formation energy, kJ/mol of formula units: -1488
Volume, Å³ per cell: 356.0
Space group: No. 166
Magnetic moment, μB/f.u.: 7.0

Geometry as Quantum ESPRESSO input:
```
&SYSTEM
  ibrav = 0, nat = 15, ntyp = 4
/
ATOMIC_SPECIES
Li 6.94 Li.upf
U 238.03 U.upf
Be 9.01 Be.upf
Se 78.96 Se.upf
CELL_PARAMETERS angstrom
7.933 0.000 0.000
-3.967 6.868 -0.026
0.000 -4.557 6.552
ATOMIC_POSITIONS angstrom
Li 0.000 0.000 0.000
Li -1.983 3.434 -0.013
Li 1.983 3.434 -0.013
U 3.967 -2.279 3.276
U 1.983 1.156 3.263
U -1.983 1.156 3.263
Be 0.000 -2.279 3.276
Se 0.000 2.293 1.531
Se 3.967 0.018 4.994
Se 3.967 2.486 1.733
Se 0.000 -0.175 4.792
Se 2.144 5.635 1.717
Se 1.822 -3.324 4.808
Se -2.144 5.635 1.718
Se 6.111 -3.324 4.808
```

No. 3
VASP calculation (GGA-PBE) on Li2BeWSe after structural relaxation. Values from VASP.

Values from the calculation:
Uncorrected formation energy, kJ/mol of formula units: 693
Volume, Å³ per cell: 113.9
Space group: No. 123
Magnetic moment, μB/f.u.: 4.2

Geometry as Quantum ESPRESSO input:
```
&SYSTEM
  ibrav = 0, nat = 5, ntyp = 4
/
ATOMIC_SPECIES
Be 9.01 Be.upf
Se 78.96 Se.upf
W 183.84 W.upf
Li 6.94 Li.upf
CELL_PARAMETERS angstrom
-1.861 -2.658 3.859
3.866 0.502 2.210
-1.743 4.247 2.084
ATOMIC_POSITIONS angstrom
Be 1.933 0.251 1.105
Se 0.131 1.046 4.077
W 0.000 0.000 0.000
Li -0.871 2.123 1.042
Li -0.930 -1.329 1.930
```

No. 4
VASP calculation (GGA-PBE) on LiZrBeSe2 after structural relaxation. Values from VASP.

Values from the calculation:
Uncorrected formation energy, kJ/mol of formula units: 230
Volume, Å³ per cell: 93.8
Space group: No. 123
Magnetic moment, μB/f.u.: 0.0

Geometry as Quantum ESPRESSO input:
```
&SYSTEM
  ibrav = 0, nat = 5, ntyp = 4
/
ATOMIC_SPECIES
Be 9.01 Be.upf
Se 78.96 Se.upf
Zr 91.22 Zr.upf
Li 6.94 Li.upf
CELL_PARAMETERS angstrom
-3.604 -1.551 -2.122
2.402 -3.405 -1.590
-1.128 -2.566 3.790
ATOMIC_POSITIONS angstrom
Be -1.165 -3.761 0.039
Se 1.201 -1.703 -0.795
Se -1.802 -0.775 -1.061
Zr -0.564 -1.283 1.895
Li 0.000 0.000 0.000
```

Number 1: calculated total energy -4.233 eV per atom. Number 2: calculated total energy -5.775 eV per atom. Number 3: calculated total energy -3.362 eV per atom. Number 4: calculated total energy -3.754 eV per atom.